NaVCo2 | Alexandria | PBE | relaxed; ΔH_f (0 K) = 760 meV/atom; space-group type = I-42d, No. 122; E above lowest polymorph = 0.162 eV per atom
1.0
6.560 0.000 0.000
0.000 6.560 0.000
3.280 3.280 2.711
Na Co V
2 4 2
Direct
0.500 0.500 0.000 Na
0.250 0.750 0.500 Na
0.672 0.125 0.250 Co
0.078 0.625 0.250 Co
0.375 0.328 0.750 Co
0.875 0.922 0.750 Co
0.000 0.000 0.000 V
0.750 0.250 0.500 V